A relaxed structure of Tl3Cr2F7. Source: Alexandria, functional PBE+U.

Output
For the volume, the calculation gives 207.9 Å³/cell. The value obtained for the total DFT energy (no corrections) is -61.15 eV/cell.

Cell: 4.102 4.743 10.946 Å, 102.51 90.00 90.00°
Site moments in Bohr magnetons follow the coordinates.
Atoms (fractional coordinates):
F 0.000 0.403 0.805  0.03
F 0.000 0.597 0.195  0.03
Cr 0.000 0.903 0.806  3.81
F 0.000 0.190 0.381  0.00
F 0.500 0.096 0.191  0.01
Tl 0.500 0.687 0.374  0.00
F 0.000 0.810 0.619  0.00
Tl 0.500 0.500 0.000  0.00
F 0.500 0.904 0.809  0.01
Cr 0.000 0.097 0.194  3.81
F 0.000 0.000 0.000  0.01
Tl 0.500 0.313 0.626  0.00